Entry 1:
Compound: NaSmPb2
Source: Alexandria via LeMat-Bulk
Functional: PBE
Structure: optimized geometry

Values from the calculation:
SG: No. 123
ΔH_f (0 K), eV/f.u.: -1.5

Cell lengths 4.5931, 4.9609, 4.9609 Å; angles 90.00, 90.00, 90.00 degrees
Closest atoms and distances in Å follow each position.
Sites, in units of the cell vectors:
Pb (0.0000, 0.0000, 0.5000)  4 Na 3.38, 4 Sm 3.38, 4 Pb 3.51
Pb (0.0000, 0.5000, 0.0000)  4 Sm 3.38, 4 Na 3.38, 4 Pb 3.51
Na (0.5000, 0.0000, 0.0000)  8 Pb 3.38, 4 Sm 3.51
Sm (0.5000, 0.5000, 0.5000)  8 Pb 3.38, 4 Na 3.51

***

Entry 2:
Compound: AlTcGeBi2
Source: Alexandria via LeMat-Bulk
Functional: PBE
Structure: optimized geometry

Values from the calculation:
SG: No. 123
ΔH_f (0 K), eV/f.u.: 5.9

Cell lengths 5.4417, 4.7177, 5.4417 Å; angles 90.00, 90.00, 90.00 degrees
Closest atoms and distances in Å follow each position.
Sites, in units of the cell vectors:
Ge (0.0000, 0.5000, 0.0000)  2 Al 2.36
Al (0.0000, 0.0000, 0.0000)  2 Ge 2.36
Bi (0.0000, 0.0000, 0.5000)  2 Al 2.72
Bi (0.5000, 0.0000, 0.0000)  2 Al 2.72
Tc (0.5000, 0.5000, 0.5000)  8 Bi 3.60, 4 Ge 3.85

***

Entry 3:
Compound: Cr2MoRhC
Source: Alexandria via LeMat-Bulk
Functional: PBE
Structure: optimized geometry

Values from the calculation:
SG: No. 123
ΔH_f (0 K), eV/f.u.: 0.2

Cell lengths 3.8724, 3.8724, 4.0981 Å; angles 90.00, 90.00, 90.00 degrees
Closest atoms and distances in Å follow each position.
Sites, in units of the cell vectors:
Cr (0.0000, 0.5000, 0.0000)  2 C 1.94
Cr (0.5000, 0.0000, 0.0000)  2 C 1.94
Mo (0.0000, 0.0000, 0.5000)  2 C 2.05
Rh (0.5000, 0.5000, 0.5000)  4 Mo 2.74, 8 Cr 2.82
C (0.0000, 0.0000, 0.0000)  4 Cr 1.94, 2 Mo 2.05

***

Entry 4:
Compound: YTmZr2
Source: Alexandria via LeMat-Bulk
Functional: PBE
Structure: optimized geometry

Values from the calculation:
Energy relative to the lowest polymorph listed for this composition, eV per formula unit: 0.56
SG: No. 123
ΔH_f (0 K), eV/f.u.: 0.9

Cell lengths 3.9097, 3.9097, 6.9219 Å; angles 90.00, 90.00, 90.00 degrees
Closest atoms and distances in Å follow each position.
Sites, in units of the cell vectors:
Y (0.5000, 0.5000, 0.5000)  8 Zr 3.36, 2 Tm 3.46
Tm (0.5000, 0.5000, 0.0000)  8 Zr 3.17, 2 Y 3.46
Zr (0.0000, 0.0000, 0.7749)  1 Zr 3.12, 4 Tm 3.17, 4 Y 3.36
Zr (0.0000, 0.0000, 0.2251)  1 Zr 3.12, 4 Tm 3.17, 4 Y 3.36

***

Entry 5:
Compound: Rb2NaMoN
Source: Alexandria via LeMat-Bulk
Functional: PBE
Structure: optimized geometry

Values from the calculation:
SG: No. 123
Energy relative to the elements, uncorrected, meV/atom: 1987

Cell lengths 7.0213, 5.8547, 7.0213 Å; angles 90.00, 90.00, 90.00 degrees
Closest atoms and distances in Å follow each position.
Sites, in units of the cell vectors:
Na (0.0000, 0.0000, 0.0000)  2 Mo 2.93
Mo (0.0000, 0.5000, 0.0000)  2 Na 2.93
Rb (0.0000, 0.0000, 0.5000)  2 Na 3.51
Rb (0.5000, 0.0000, 0.0000)  2 Na 3.51
N (0.5000, 0.5000, 0.5000)  8 Rb 4.57, 4 Mo 4.96

***

Entry 6:
Compound: Tl2HgIrO6
Source: Alexandria via LeMat-Bulk
Functional: PBE
Structure: optimized geometry

Values from the calculation:
SG: No. 146
Energy relative to the elements, uncorrected, meV/atom: -585

Cell lengths 5.9730, 5.9730, 5.9730 Å; angles 58.68, 58.68, 58.68 degrees
Closest atoms and distances in Å follow each position.
Sites, in units of the cell vectors:
Tl (0.2282, 0.2282, 0.2282)  6 O 2.33-2.50
Tl (0.7003, 0.7003, 0.7003)  6 O 2.32-2.41
Hg (0.4551, 0.4551, 0.4551)  3 O 2.26
Ir (0.0093, 0.0093, 0.0093)  6 O 1.96-2.00
O (0.3656, 0.0837, 0.8361)  1 Ir 2.00
O (0.0837, 0.8361, 0.3656)  1 Ir 2.00
O (0.9101, 0.2424, 0.6697)  1 Ir 1.96
O (0.6697, 0.9101, 0.2424)  1 Ir 1.96
O (0.8361, 0.3656, 0.0837)  1 Ir 2.00
O (0.2424, 0.6697, 0.9101)  1 Ir 1.96

***

| no. | theoretical density (Mg/m³) | spin magnetization (μB per cell) |
| --- | --- | --- |
| 1 | 8.63 | 0.000 |
| 2 | 7.32 | 3.419 |
| 3 | 8.51 | 1.033 |
| 4 | 6.91 | 0.000 |
| 5 | 1.75 | 3.484 |
| 6 | 10.20 | 1.133 |